# PBE NdGa4Ni3, optimized geometry
# - Theoretical density: 7.20 g/cm3
# - DOS at the Fermi energy: 9.1 states/eV/cell
# - DFT formation energy: -0.277 eV per atom
# - Calculated total energy: -4.554 eV/atom
data_NdGa4Ni3
_chemical_formula_sum 'Nd2 Ga8 Ni6'
_space_group_name_H-M_alt 'C m m m'
_space_group_IT_number 65
_space_group_name_Hall '-C 2 2'
_cell_length_a 5.079
_cell_length_b 7.936
_cell_length_c 6.858
_cell_angle_alpha 90.00
_cell_angle_beta 90.00
_cell_angle_gamma 90.00
loop_
_atom_site_label
_atom_site_type_symbol
_atom_site_fract_x
_atom_site_fract_y
_atom_site_fract_z
Nd1 Nd 0.000 0.000 0.000
Ga1 Ga 0.250 0.250 0.308
Ni1 Ni 0.000 0.000 0.500
Ni2 Ni 0.000 0.500 0.313